# 1
Compound: Li2AgPdO4
Source: the Alexandria database
Functional: PBE-GGA
Structure: optimized geometry

## Properties
The calculated density comes out at 5.5 Mg/m³. As for the space group: No. 10. The density of states at the Fermi level comes out at 0.325 states/eV/atom. The value obtained for the total magnetic moment is 0.075 μB per atom. As for the energy relative to the elements, uncorrected: -0.883 eV per atom. For the total energy, the calculation gives -4.85 eV per atom.

a b c (Å): 5.4604 3.0104 5.6639
angles (deg): 90.00 110.00 90.00
Element x y z (fractional)
Li (0.0000, 0.0000, 0.0000)
Li (0.5000, 0.5000, 0.5000)
Ag (0.0000, 0.0000, 0.5000)
Pd (0.5000, 0.5000, 0.0000)
O (0.1141, 0.5000, 0.7921)
O (0.4243, 0.0000, 0.2137)
O (0.5757, 0.0000, 0.7863)
O (0.8859, 0.5000, 0.2079)

# 2
Compound: HfCNO2
Source: the Alexandria database
Functional: PBE-GGA
Structure: optimized geometry

## Properties
The calculated density comes out at 5.5 Mg/m³. As for the space group: No. 123. The density of states at the Fermi level comes out at 0.670 states/eV/atom. The value obtained for the total magnetic moment is 0.200 μB per atom. As for the energy relative to the elements, uncorrected: 0.440 eV per atom. For the total energy, the calculation gives -7.04 eV per atom.

a b c (Å): 4.0493 4.0493 4.3924
angles (deg): 90.00 90.00 90.00
Element x y z (fractional)
Hf (0.0000, 0.0000, 0.0000)
C (0.5000, 0.5000, 0.5000)
N (0.0000, 0.0000, 0.5000)
O (0.0000, 0.5000, 0.0000)
O (0.5000, 0.0000, 0.0000)

# 3
Compound: Pu2AsPt
Source: the Alexandria database
Functional: PBE-GGA
Structure: optimized geometry

## Properties
For the energy of formation from the pure elements, the calculation gives -754.2 meV/atom. The calculated density comes out at 14.2 Mg/m³. As for the space group: No. 225. The density of states at the Fermi level comes out at 3.873 states/eV/atom. The value obtained for the total magnetic moment is 2.750 μB per atom. For the total energy, the calculation gives -10.59 eV per atom. For the energy above the most stable polymorph in this dataset, the calculation gives 68 meV per atom.

a b c (Å): 5.0068 5.0068 5.0068
angles (deg): 60.00 60.00 60.00
Element x y z (fractional)
Pu (0.2500, 0.2500, 0.2500)
Pu (0.7500, 0.7500, 0.7500)
As (0.0000, 0.0000, 0.0000)
Pt (0.5000, 0.5000, 0.5000)

# 4
Compound: Ga2BrO
Source: the Alexandria database
Functional: PBE-GGA
Structure: optimized geometry

## Properties
The calculated density comes out at 4.7 Mg/m³. As for the space group: No. 122. The density of states at the Fermi level comes out at 0.530 states/eV/atom. The value obtained for the total magnetic moment is 0.000 μB per atom. As for the energy relative to the elements, uncorrected: -0.567 eV per atom. For the total energy, the calculation gives -3.74 eV per atom. For the energy above the most stable polymorph in this dataset, the calculation gives 0 meV per atom.

a b c (Å): 6.0190 6.0190 6.0190
angles (deg): 113.00 113.00 102.62
Element x y z (fractional)
Ga (0.0267, 0.6250, 0.9017)
Ga (0.3750, 0.2767, 0.4017)
Ga (0.7233, 0.1250, 0.0983)
Ga (0.8750, 0.9733, 0.5983)
Br (0.2500, 0.7500, 0.5000)
Br (0.5000, 0.5000, 0.0000)
O (0.0000, 0.0000, 0.0000)
O (0.7500, 0.2500, 0.5000)

# 5
Compound: LiYTlCo
Source: the Alexandria database
Functional: PBE-GGA
Structure: optimized geometry

## Properties
For the energy of formation from the pure elements, the calculation gives -70.8 meV/atom. The calculated density comes out at 8.0 Mg/m³. As for the space group: No. 216. The density of states at the Fermi level comes out at 1.008 states/eV/atom. The value obtained for the total magnetic moment is 0.274 μB per atom. For the total energy, the calculation gives -4.53 eV per atom.

a b c (Å): 4.7160 4.7160 4.7160
angles (deg): 60.00 60.00 60.00
Element x y z (fractional)
Li (0.0000, 0.0000, 0.0000)
Y (0.2500, 0.2500, 0.2500)
Tl (0.7500, 0.7500, 0.7500)
Co (0.5000, 0.5000, 0.5000)

# 6
Compound: Ca2HPt
Source: the Alexandria database
Functional: PBE-GGA
Structure: optimized geometry

## Properties
The calculated density comes out at 5.4 Mg/m³. As for the space group: No. 13. The density of states at the Fermi level comes out at 0.416 states/eV/atom. The value obtained for the total magnetic moment is 0.000 μB per atom. For the total energy, the calculation gives -3.96 eV per atom. For the energy above the most stable polymorph in this dataset, the calculation gives 0 meV per atom.

a b c (Å): 5.8457 5.7099 11.2064
angles (deg): 90.00 114.39 90.00
Element x y z (fractional)
Ca (0.0323, 0.2411, 0.0974)
Ca (0.0323, 0.7589, 0.5974)
Ca (0.3396, 0.2241, 0.8587)
Ca (0.3396, 0.7759, 0.3587)
Ca (0.6604, 0.2241, 0.6413)
Ca (0.6604, 0.7759, 0.1413)
Ca (0.9677, 0.2411, 0.4026)
Ca (0.9677, 0.7589, 0.9026)
H (0.0416, 0.1732, 0.6252)
H (0.0416, 0.8268, 0.1252)
H (0.9584, 0.1732, 0.8748)
H (0.9584, 0.8268, 0.3748)
Pt (0.4305, 0.2802, 0.3542)
Pt (0.4305, 0.7198, 0.8542)
Pt (0.5695, 0.2802, 0.1458)
Pt (0.5695, 0.7198, 0.6458)

# 7
Compound: Cd2FeHg
Source: the Alexandria database
Functional: PBE-GGA
Structure: optimized geometry

## Properties
For the energy of formation from the pure elements, the calculation gives 263.9 meV/atom. The calculated density comes out at 9.7 Mg/m³. As for the space group: No. 71. The density of states at the Fermi level comes out at 0.746 states/eV/atom. The value obtained for the total magnetic moment is 0.671 μB per atom. For the total energy, the calculation gives -2.38 eV per atom.

a b c (Å): 6.5192 6.5192 6.5192
angles (deg): 153.48 137.95 50.41
Element x y z (fractional)
Cd (0.1987, 0.1987, 0.0000)
Cd (0.8013, 0.8013, 0.0000)
Fe (0.0000, 0.5000, 0.5000)
Hg (0.5000, 0.0000, 0.5000)

# 8
Compound: Ba6Sb2PtBr3
Source: the Alexandria database
Functional: PBE-GGA
Structure: optimized geometry

## Properties
The calculated density comes out at 5.0 Mg/m³. As for the space group: No. 12. The density of states at the Fermi level comes out at 0.333 states/eV/atom. The value obtained for the total magnetic moment is 0.000 μB per atom. As for the energy relative to the elements, uncorrected: -1.412 eV per atom. For the total energy, the calculation gives -3.98 eV per atom.

a b c (Å): 10.9446 10.9446 9.9269
angles (deg): 103.46 103.46 25.79
Element x y z (fractional)
Ba (0.0009, 0.0009, 0.2242)
Ba (0.3300, 0.3300, 0.4262)
Ba (0.3492, 0.3492, 0.9135)
Ba (0.6508, 0.6508, 0.0865)
Ba (0.6700, 0.6700, 0.5738)
Ba (0.9991, 0.9991, 0.7758)
Sb (0.1644, 0.1644, 0.3306)
Sb (0.8356, 0.8356, 0.6694)
Pt (0.5000, 0.5000, 0.0000)
Br (0.1685, 0.1685, 0.8344)
Br (0.5000, 0.5000, 0.5000)
Br (0.8315, 0.8315, 0.1656)

# 9
Compound: As2WIBr
Source: the Alexandria database
Functional: PBE-GGA
Structure: optimized geometry

## Properties
The calculated density comes out at 7.1 Mg/m³. As for the space group: No. 123. The density of states at the Fermi level comes out at 0.588 states/eV/atom. The value obtained for the total magnetic moment is 0.000 μB per atom. As for the energy relative to the elements, uncorrected: 0.384 eV per atom. For the total energy, the calculation gives -4.71 eV per atom. For the energy above the most stable polymorph in this dataset, the calculation gives 0 meV per atom.

a b c (Å): 4.9700 4.9700 5.1242
angles (deg): 90.00 90.00 90.00
Element x y z (fractional)
As (0.0000, 0.5000, 0.0000)
As (0.5000, 0.0000, 0.0000)
W (0.0000, 0.0000, 0.0000)
I (0.5000, 0.5000, 0.5000)
Br (0.0000, 0.0000, 0.5000)